No. 1
First-principles (PBE) data for an optimized crystal structure of S2Cl2O5, as listed in Alexandria via LeMat-Bulk.

```
data_S2Cl2O5
_space_group_name_H-M_alt 'C 1 2/m 1'
_space_group_IT_number 12
_cell_length_a 10.384
_cell_length_b 6.436
_cell_length_c 6.886
_cell_angle_alpha 90.00
_cell_angle_beta 99.32
_cell_angle_gamma 90.00
loop_
_space_group_symop_operation_xyz
'x,y,z'
'-x,-y,-z'
'-x,y,-z'
'x,-y,z'
'x+1/2,y+1/2,z'
'-x+1/2,-y+1/2,-z'
'-x+1/2,y+1/2,-z'
'x+1/2,-y+1/2,z'
loop_
_atom_site_label
_atom_site_type_symbol
_atom_site_fract_x
_atom_site_fract_y
_atom_site_fract_z
S1 S 0.150 0.000 0.388
Cl1 Cl 0.086 0.500 0.952
O1 O 0.000 0.000 0.500
O2 O 0.146 0.000 0.177
O3 O 0.227 0.500 0.481
```

Output
E_tot	-4.626	eV per atom
uncorrected formation energy	-0.544	eV per atom
calculated volume	25.2	Å³/atom

=====

No. 2
First-principles (PBE) data for an optimized crystal structure of SClO3, as listed in Alexandria via LeMat-Bulk.

```
data_SClO3
_space_group_name_H-M_alt 'P m -3 m'
_space_group_IT_number 221
_space_group_name_Hall '-P 4 2 3'
_cell_length_a 3.699
_cell_length_b 3.699
_cell_length_c 3.699
_cell_angle_alpha 90.00
_cell_angle_beta 90.00
_cell_angle_gamma 90.00
loop_
_atom_site_label
_atom_site_type_symbol
_atom_site_fract_x
_atom_site_fract_y
_atom_site_fract_z
S1 S 0.000 0.000 0.000
Cl1 Cl 0.500 0.500 0.500
O1 O 0.000 0.000 0.500
```

Output
E_tot	-3.427	eV per atom
uncorrected formation energy	0.743	eV per atom
calculated volume	10.1	Å³/atom

=====

> Which value of calculated volume does entry 2 give?

10.1 Å³/atom

=====

> Which value of uncorrected formation energy does entry 2 give?

0.743 eV per atom

=====

> Among the records above, which one has the lowest E_tot?

S2Cl2O5

=====

Please write out number 2 again, unchanged.
First-principles (PBE) data for an optimized crystal structure of SClO3, as listed in Alexandria via LeMat-Bulk.

```
data_SClO3
_space_group_name_H-M_alt 'P m -3 m'
_space_group_IT_number 221
_space_group_name_Hall '-P 4 2 3'
_cell_length_a 3.699
_cell_length_b 3.699
_cell_length_c 3.699
_cell_angle_alpha 90.00
_cell_angle_beta 90.00
_cell_angle_gamma 90.00
loop_
_atom_site_label
_atom_site_type_symbol
_atom_site_fract_x
_atom_site_fract_y
_atom_site_fract_z
S1 S 0.000 0.000 0.000
Cl1 Cl 0.500 0.500 0.500
O1 O 0.000 0.000 0.500
```

Output
E_tot	-3.427	eV per atom
uncorrected formation energy	0.743	eV per atom
calculated volume	10.1	Å³/atom